The following is a DFT calculation (PBEsol) of crystalline Sm3Dy at its relaxed geometry.

```
data_Sm3Dy
_space_group_name_H-M_alt 'P 1'
_space_group_IT_number 1
_cell_length_a 4.9867
_cell_length_b 4.9867
_cell_length_c 9.9590
_cell_angle_alpha 90.00
_cell_angle_beta 90.00
_cell_angle_gamma 90.00
loop_
_space_group_symop_operation_xyz
'x,y,z'
loop_
_atom_site_label
_atom_site_type_symbol
_atom_site_fract_x
_atom_site_fract_y
_atom_site_fract_z
_atom_site_occupancy
Sm1 Sm 0.0000 0.0000 0.0000 1
Sm2 Sm 0.0000 0.5000 0.2500 1
Sm3 Sm 0.0000 0.5000 0.7500 1
Sm4 Sm 0.5000 0.0000 0.2500 1
Sm5 Sm 0.5000 0.0000 0.7500 1
Sm6 Sm 0.5000 0.5000 0.5000 1
Dy1 Dy 0.0000 0.0000 0.5000 1
Dy2 Dy 0.5000 0.5000 0.0000 1
```

## Properties
energy above the lowest structure with this stoichiometry	0	meV per atom

The following is a DFT calculation (PBEsol) of crystalline Sm3Dy at its relaxed geometry.

```
data_Sm3Dy
_space_group_name_H-M_alt 'P 1'
_space_group_IT_number 1
_cell_length_a 4.9833
_cell_length_b 4.9833
_cell_length_c 4.9833
_cell_angle_alpha 90.00
_cell_angle_beta 90.00
_cell_angle_gamma 90.00
loop_
_space_group_symop_operation_xyz
'x,y,z'
loop_
_atom_site_label
_atom_site_type_symbol
_atom_site_fract_x
_atom_site_fract_y
_atom_site_fract_z
_atom_site_occupancy
Sm1 Sm 0.0000 0.0000 0.5000 1
Sm2 Sm 0.0000 0.5000 0.0000 1
Sm3 Sm 0.5000 0.0000 0.0000 1
Dy1 Dy 0.5000 0.5000 0.5000 1
```

## Properties
energy above the lowest structure with this stoichiometry	0	meV per atom

The following is a DFT calculation (PBEsol) of crystalline DySn2 at its relaxed geometry.

```
data_DySn2
_space_group_name_H-M_alt 'P 1'
_space_group_IT_number 1
_cell_length_a 16.2512
_cell_length_b 16.2512
_cell_length_c 16.2512
_cell_angle_alpha 164.70
_cell_angle_beta 164.70
_cell_angle_gamma 21.70
loop_
_space_group_symop_operation_xyz
'x,y,z'
loop_
_atom_site_label
_atom_site_type_symbol
_atom_site_fract_x
_atom_site_fract_y
_atom_site_fract_z
_atom_site_occupancy
Dy1 Dy 0.0489 0.2989 0.7500 1
Dy2 Dy 0.2989 0.0489 0.2500 1
Dy3 Dy 0.7011 0.9511 0.7500 1
Dy4 Dy 0.9511 0.7011 0.2500 1
Sn1 Sn 0.1250 0.8750 0.2500 1
Sn2 Sn 0.2177 0.4677 0.7500 1
Sn3 Sn 0.3750 0.6250 0.7500 1
Sn4 Sn 0.4677 0.2177 0.2500 1
Sn5 Sn 0.5323 0.7823 0.7500 1
Sn6 Sn 0.6250 0.3750 0.2500 1
Sn7 Sn 0.7823 0.5323 0.2500 1
Sn8 Sn 0.8750 0.1250 0.7500 1
```

## Properties
uncorrected energy	-61.93	eV per cell

The following is a DFT calculation (PBEsol) of crystalline Dy5Sn3 at its relaxed geometry.

```
data_Dy5Sn3
_space_group_name_H-M_alt 'P 1'
_space_group_IT_number 1
_cell_length_a 8.8355
_cell_length_b 8.8355
_cell_length_c 6.4429
_cell_angle_alpha 90.00
_cell_angle_beta 90.00
_cell_angle_gamma 120.00
loop_
_space_group_symop_operation_xyz
'x,y,z'
loop_
_atom_site_label
_atom_site_type_symbol
_atom_site_fract_x
_atom_site_fract_y
_atom_site_fract_z
_atom_site_occupancy
Dy1 Dy 0.0000 0.2380 0.2500 1
Dy2 Dy 0.0000 0.7620 0.7500 1
Dy3 Dy 0.2380 0.0000 0.2500 1
Dy4 Dy 0.2380 0.2380 0.7500 1
Dy5 Dy 0.3333 0.6667 0.0000 1
Dy6 Dy 0.3333 0.6667 0.5000 1
Dy7 Dy 0.6667 0.3333 0.0000 1
Dy8 Dy 0.6667 0.3333 0.5000 1
Dy9 Dy 0.7620 0.0000 0.7500 1
Dy10 Dy 0.7620 0.7620 0.2500 1
Sn1 Sn 0.0000 0.3957 0.7500 1
Sn2 Sn 0.0000 0.6043 0.2500 1
Sn3 Sn 0.3957 0.0000 0.7500 1
Sn4 Sn 0.3957 0.3957 0.2500 1
Sn5 Sn 0.6043 0.0000 0.2500 1
Sn6 Sn 0.6043 0.6043 0.7500 1
```

## Properties
uncorrected energy	-87.52	eV per cell

The following is a DFT calculation (PBEsol) of crystalline Dy2Sn5 at its relaxed geometry.

```
data_Dy2Sn5
_space_group_name_H-M_alt 'P 1'
_space_group_IT_number 1
_cell_length_a 4.3086
_cell_length_b 4.3500
_cell_length_c 18.8311
_cell_angle_alpha 90.00
_cell_angle_beta 90.00
_cell_angle_gamma 90.00
loop_
_space_group_symop_operation_xyz
'x,y,z'
loop_
_atom_site_label
_atom_site_type_symbol
_atom_site_fract_x
_atom_site_fract_y
_atom_site_fract_z
_atom_site_occupancy
Dy1 Dy 0.2500 0.2500 0.1290 1
Dy2 Dy 0.2500 0.7500 0.7003 1
Dy3 Dy 0.7500 0.2500 0.2997 1
Dy4 Dy 0.7500 0.7500 0.8710 1
Sn1 Sn 0.2500 0.2500 0.4233 1
Sn2 Sn 0.2500 0.2500 0.5766 1
Sn3 Sn 0.2500 0.2500 0.8436 1
Sn4 Sn 0.2500 0.7500 0.0011 1
Sn5 Sn 0.2500 0.7500 0.2647 1
Sn6 Sn 0.7500 0.2500 0.7353 1
Sn7 Sn 0.7500 0.2500 0.9989 1
Sn8 Sn 0.7500 0.7500 0.1564 1
Sn9 Sn 0.7500 0.7500 0.4234 1
Sn10 Sn 0.7500 0.7500 0.5767 1
```

## Properties
uncorrected energy	-70.64	eV per cell

The following is a DFT calculation (PBEsol) of crystalline Dy5Sn13 at its relaxed geometry.

```
data_Dy5Sn13
_space_group_name_H-M_alt 'P 1'
_space_group_IT_number 1
_cell_length_a 23.9925
_cell_length_b 23.9925
_cell_length_c 23.9925
_cell_angle_alpha 169.63
_cell_angle_beta 169.55
_cell_angle_gamma 14.74
loop_
_space_group_symop_operation_xyz
'x,y,z'
loop_
_atom_site_label
_atom_site_type_symbol
_atom_site_fract_x
_atom_site_fract_y
_atom_site_fract_z
_atom_site_occupancy
Dy1 Dy 0.0000 0.0000 0.0000 1
Dy2 Dy 0.3290 0.8290 0.5000 1
Dy3 Dy 0.3965 0.3965 0.0000 1
Dy4 Dy 0.6035 0.6035 0.0000 1
Dy5 Dy 0.6710 0.1710 0.5000 1
Sn1 Sn 0.0530 0.5530 0.5000 1
Sn2 Sn 0.1155 0.1155 0.0000 1
Sn3 Sn 0.1578 0.6579 0.5000 1
Sn4 Sn 0.2197 0.2197 0.0000 1
Sn5 Sn 0.2803 0.2803 0.0000 1
Sn6 Sn 0.4468 0.9468 0.5000 1
Sn7 Sn 0.5000 0.5000 0.0000 1
Sn8 Sn 0.5532 0.0532 0.5000 1
Sn9 Sn 0.7197 0.7197 0.0000 1
Sn10 Sn 0.7803 0.7803 0.0000 1
Sn11 Sn 0.8422 0.3422 0.5000 1
Sn12 Sn 0.8845 0.8845 0.0000 1
Sn13 Sn 0.9470 0.4470 0.5000 1
```

## Properties
uncorrected energy	-90.45	eV per cell

The following is a DFT calculation (PBEsol) of crystalline DySn2 at its relaxed geometry.

```
data_DySn2
_space_group_name_H-M_alt 'P 1'
_space_group_IT_number 1
_cell_length_a 4.3639
_cell_length_b 16.0190
_cell_length_c 4.2822
_cell_angle_alpha 90.00
_cell_angle_beta 90.00
_cell_angle_gamma 90.00
loop_
_space_group_symop_operation_xyz
'x,y,z'
loop_
_atom_site_label
_atom_site_type_symbol
_atom_site_fract_x
_atom_site_fract_y
_atom_site_fract_z
_atom_site_occupancy
Dy1 Dy 0.0000 0.0981 0.2500 1
Dy2 Dy 0.0000 0.9019 0.7500 1
Dy3 Dy 0.5000 0.4019 0.7500 1
Dy4 Dy 0.5000 0.5981 0.2500 1
Sn1 Sn 0.0000 0.2511 0.7500 1
Sn2 Sn 0.0000 0.4357 0.2500 1
Sn3 Sn 0.0000 0.5643 0.7500 1
Sn4 Sn 0.0000 0.7489 0.2500 1
Sn5 Sn 0.5000 0.0643 0.7500 1
Sn6 Sn 0.5000 0.2489 0.2500 1
Sn7 Sn 0.5000 0.7511 0.7500 1
Sn8 Sn 0.5000 0.9357 0.2500 1
```

## Properties
uncorrected energy	-61.92	eV per cell

The following is a DFT calculation (PBEsol) of crystalline Dy2Te at its relaxed geometry.

```
data_Dy2Te
_space_group_name_H-M_alt 'P 1'
_space_group_IT_number 1
_cell_length_a 21.7685
_cell_length_b 3.9985
_cell_length_c 11.3500
_cell_angle_alpha 90.00
_cell_angle_beta 90.00
_cell_angle_gamma 90.00
loop_
_space_group_symop_operation_xyz
'x,y,z'
loop_
_atom_site_label
_atom_site_type_symbol
_atom_site_fract_x
_atom_site_fract_y
_atom_site_fract_z
_atom_site_occupancy
Dy1 Dy 0.0172 0.2500 0.1131 1
Dy2 Dy 0.0345 0.7500 0.3850 1
Dy3 Dy 0.1080 0.2500 0.8506 1
Dy4 Dy 0.1473 0.7500 0.0874 1
Dy5 Dy 0.1599 0.2500 0.5448 1
Dy6 Dy 0.2326 0.7500 0.7656 1
Dy7 Dy 0.2673 0.2500 0.2656 1
Dy8 Dy 0.3401 0.7500 0.0448 1
Dy9 Dy 0.3527 0.2500 0.5874 1
Dy10 Dy 0.3920 0.7500 0.3506 1
Dy11 Dy 0.4655 0.2500 0.8850 1
Dy12 Dy 0.4828 0.7500 0.6131 1
Dy13 Dy 0.5172 0.2500 0.3869 1
Dy14 Dy 0.5345 0.7500 0.1150 1
Dy15 Dy 0.6080 0.2500 0.6494 1
Dy16 Dy 0.6473 0.7500 0.4126 1
Dy17 Dy 0.6599 0.2500 0.9552 1
Dy18 Dy 0.7326 0.7500 0.7344 1
Dy19 Dy 0.7674 0.2500 0.2344 1
Dy20 Dy 0.8401 0.7500 0.4552 1
Dy21 Dy 0.8527 0.2500 0.9126 1
Dy22 Dy 0.8920 0.7500 0.1494 1
Dy23 Dy 0.9655 0.2500 0.6150 1
Dy24 Dy 0.9828 0.7500 0.8869 1
Te1 Te 0.0690 0.7500 0.6515 1
Te2 Te 0.1278 0.2500 0.2893 1
Te3 Te 0.2390 0.2500 0.9799 1
Te4 Te 0.2610 0.7500 0.4799 1
Te5 Te 0.3722 0.7500 0.7893 1
Te6 Te 0.4310 0.2500 0.1515 1
Te7 Te 0.5690 0.7500 0.8485 1
Te8 Te 0.6278 0.2500 0.2107 1
Te9 Te 0.7390 0.2500 0.5201 1
Te10 Te 0.7610 0.7500 0.0201 1
Te11 Te 0.8722 0.7500 0.7107 1
Te12 Te 0.9310 0.2500 0.3485 1
```

## Properties
uncorrected energy	-194.99	eV per cell

The following is a DFT calculation (PBEsol) of crystalline DyTe at its relaxed geometry.

```
data_DyTe
_space_group_name_H-M_alt 'P 1'
_space_group_IT_number 1
_cell_length_a 6.0583
_cell_length_b 6.0583
_cell_length_c 6.0583
_cell_angle_alpha 90.00
_cell_angle_beta 90.00
_cell_angle_gamma 90.00
loop_
_space_group_symop_operation_xyz
'x,y,z'
loop_
_atom_site_label
_atom_site_type_symbol
_atom_site_fract_x
_atom_site_fract_y
_atom_site_fract_z
_atom_site_occupancy
Dy1 Dy 0.0000 0.0000 0.0000 1
Dy2 Dy 0.0000 0.5000 0.5000 1
Dy3 Dy 0.5000 0.0000 0.5000 1
Dy4 Dy 0.5000 0.5000 0.0000 1
Te1 Te 0.0000 0.0000 0.5000 1
Te2 Te 0.0000 0.5000 0.0000 1
Te3 Te 0.5000 0.0000 0.0000 1
Te4 Te 0.5000 0.5000 0.5000 1
```

## Properties
uncorrected energy	-44.62	eV per cell

The following is a DFT calculation (PBEsol) of crystalline Dy2Te3 at its relaxed geometry.

```
data_Dy2Te3
_space_group_name_H-M_alt 'P 1'
_space_group_IT_number 1
_cell_length_a 14.1801
_cell_length_b 13.5198
_cell_length_c 7.4102
_cell_angle_alpha 79.47
_cell_angle_beta 69.62
_cell_angle_gamma 30.92
loop_
_space_group_symop_operation_xyz
'x,y,z'
loop_
_atom_site_label
_atom_site_type_symbol
_atom_site_fract_x
_atom_site_fract_y
_atom_site_fract_z
_atom_site_occupancy
Dy1 Dy 0.0423 0.0423 0.2077 1
Dy2 Dy 0.1249 0.1249 0.6251 1
Dy3 Dy 0.2077 0.2077 0.0423 1
Dy4 Dy 0.3749 0.3749 0.8751 1
Dy5 Dy 0.6251 0.6251 0.1249 1
Dy6 Dy 0.7923 0.7923 0.9577 1
Dy7 Dy 0.8751 0.8751 0.3749 1
Dy8 Dy 0.9577 0.9577 0.7923 1
Te1 Te 0.0417 0.5408 0.2118 1
Te2 Te 0.1311 0.6189 0.6189 1
Te3 Te 0.2118 0.7057 0.0417 1
Te4 Te 0.2943 0.7882 0.4592 1
Te5 Te 0.3811 0.8689 0.8689 1
Te6 Te 0.4592 0.9583 0.2943 1
Te7 Te 0.5408 0.0417 0.7057 1
Te8 Te 0.6189 0.1311 0.1311 1
Te9 Te 0.7057 0.2118 0.5408 1
Te10 Te 0.7882 0.2943 0.9583 1
Te11 Te 0.8689 0.3811 0.3811 1
Te12 Te 0.9583 0.4592 0.7882 1
```

## Properties
uncorrected energy	-109.79	eV per cell